Here is a relaxed structure of GdHo2Ga from the Alexandria database. Energies are from PBE.

abc: 3.521 3.521 8.849
angles: 90.00 90.00 90.00
Space group P4/mmm (No. 123)
Asymmetric unit:
Gd1 0.000 0.000 0.000 (multiplicity 1)
Ho1 0.500 0.500 0.293 (multiplicity 2)
Ga1 0.000 0.000 0.500 (multiplicity 1)

## Properties
size of the total moment: 7.628 μB per cell
DOS(E_F): 4.1 states/eV/f.u.
E_form: -278 meV per atom
relative energy among the computed polymorphs: 0.0 meV/atom
crystal system: tetragonal

***

Here is a relaxed structure of GdHoGa2 from the Alexandria database. Energies are from PBE.

abc: 3.6521 3.6521 26.2637
angles: 90.00 90.00 120.00
Space group R-3m (No. 166, hexagonal axes)
Asymmetric unit:
Gd1 0.0000 0.0000 0.0000 (multiplicity 3)
Ho1 0.0000 0.0000 0.5000 (multiplicity 3)
Ga1 0.0000 0.0000 0.2489 (multiplicity 6)

## Properties
size of the total moment: 21.266 μB per cell
DOS(E_F): 2.2 states/eV/f.u.
E_form: -411 meV per atom
relative energy among the computed polymorphs: 177.3 meV/atom
crystal system: trigonal

***

Here is a relaxed structure of GdHo2Ga from the Alexandria database. Energies are from PBE.

abc: 4.730 4.730 4.691
angles: 90.00 90.00 90.00
Space group P4/mmm (No. 123)
Asymmetric unit:
Gd1 0.000 0.000 0.000 (multiplicity 1)
Ho1 0.000 0.500 0.500 (multiplicity 2)
Ga1 0.500 0.500 0.000 (multiplicity 1)

## Properties
size of the total moment: 7.813 μB per cell
DOS(E_F): 4.3 states/eV/f.u.
E_form: -250 meV per atom
relative energy among the computed polymorphs: 27.9 meV/atom
crystal system: tetragonal

***

Here is a relaxed structure of GdHoInGa from the Alexandria database. Energies are from PBE.

abc: 7.370 7.370 7.370
angles: 90.00 90.00 90.00
Space group F-43m (No. 216)
Asymmetric unit:
Gd1 0.000 0.000 0.000 (multiplicity 4)
Ho1 0.000 0.000 0.500 (multiplicity 4)
In1 0.250 0.250 0.250 (multiplicity 4)
Ga1 0.250 0.250 0.750 (multiplicity 4)

## Properties
size of the total moment: 28.584 μB per cell
DOS(E_F): 2.1 states/eV/f.u.
E_form: -500 meV per atom
crystal system: cubic

***

> The lowest DOS(E_F) belongs to which entry?

GdHoInGa

***

> Which of these has the lowest DOS(E_F)?

GdHoInGa

***

> Among the records above, which one has the lowest size of the total moment?

number 1

***

> Among the records above, which one has the lowest E_form?

GdHoInGa